Record 1
A crystal of ScBeMo2 relaxed with PBEsol, computed with SCAN.

Cell: 5.333 8.985 2.663 Å, 90.00 109.40 90.00°
Space group C2/m (No. 12)
Unique sites:
Sc 0.000 0.000 0.000 [2 per cell]
Be 0.000 0.500 0.000 [2 per cell]
Mo 0.250 0.250 0.500 [4 per cell]

Computed properties:
Formation energy in eV per atom: 0.2783
Crystal system: monoclinic
Calculated volume in Å³ per cell: 120.3
M_tot in μB per formula unit: 0.00

***

Record 2
A crystal of Al3GeMo relaxed with PBEsol, computed with SCAN.

Cell: 4.786 4.786 4.786 Å, 90.00 90.00 90.00°
Space group Pm-3m (No. 221)
Unique sites:
Al 0.000 0.000 0.500 [3 per cell]
Ge 0.500 0.500 0.500 [1 per cell]
Mo 0.000 0.000 0.000 [1 per cell]

Computed properties:
Formation energy in eV per atom: 0.7408
Crystal system: cubic
Calculated volume in Å³ per cell: 109.6
M_tot in μB per formula unit: 0.00

***

Record 3
A crystal of TlGa2As2 relaxed with PBEsol, computed with SCAN.

Cell: 4.146 4.146 13.364 Å, 90.00 90.00 90.00°
Space group I4/mmm (No. 139)
Unique sites:
Tl 0.000 0.000 0.000 [2 per cell]
Ga 0.000 0.500 0.250 [4 per cell]
As 0.000 0.000 0.367 [4 per cell]

Computed properties:
Formation energy in eV per atom: -0.0477
Crystal system: tetragonal
Calculated volume in Å³ per cell: 229.8
M_tot in μB per formula unit: 0.00

***

Record 4
A crystal of Tc3Ir5 relaxed with PBEsol, computed with SCAN.

Cell: 7.624 7.686 3.809 Å, 90.00 90.00 90.00°
Space group Cmmm (No. 65)
Unique sites:
Tc 0.000 0.000 0.000 [2 per cell]
Tc 0.247 0.000 0.500 [4 per cell]
Ir 0.000 0.248 0.500 [4 per cell]
Ir 0.000 0.500 0.000 [2 per cell]
Ir 0.250 0.250 0.000 [4 per cell]

Computed properties:
Formation energy in eV per atom: -0.2214
Crystal system: orthorhombic
Calculated volume in Å³ per cell: 223.2
M_tot in μB per formula unit: 0.00

***

Record 5
A crystal of MnIrN2F relaxed with PBEsol, computed with SCAN.

Cell: 3.672 3.672 5.483 Å, 90.00 90.00 90.00°
Space group P4/mmm (No. 123)
Unique sites:
Mn 0.000 0.000 0.000 [1 per cell]
Ir 0.500 0.500 0.500 [1 per cell]
N 0.000 0.500 0.500 [2 per cell]
F 0.500 0.500 0.000 [1 per cell]

Computed properties:
Crystal system: tetragonal
Calculated volume in Å³ per cell: 73.9
Energy relative to the elements, uncorrected in meV/atom: 273
M_tot in μB per formula unit: 5.01

***

Record 6
A crystal of ZrNbSi2Ru2 relaxed with PBEsol, computed with SCAN.

Cell: 6.543 3.709 11.147 Å, 90.00 90.43 90.00°
Space group Pm (No. 6)
Unique sites:
Zr 0.000 0.000 0.000 [1 per cell]
Zr 0.001 0.000 0.584 [1 per cell]
Zr 0.499 0.000 0.499 [1 per cell]
Nb 0.371 0.000 0.795 [1 per cell]
Nb 0.500 0.000 0.086 [1 per cell]
Nb 0.863 0.000 0.290 [1 per cell]
Si 0.275 0.000 0.287 [1 per cell]
Si 0.294 0.500 0.630 [1 per cell]
Si 0.299 0.500 0.960 [1 per cell]
Si 0.777 0.000 0.792 [1 per cell]
Si 0.786 0.500 0.127 [1 per cell]
Si 0.791 0.500 0.454 [1 per cell]
Ru 0.034 0.500 0.794 [1 per cell]
Ru 0.164 0.500 0.168 [1 per cell]
Ru 0.166 0.500 0.414 [1 per cell]
Ru 0.529 0.500 0.289 [1 per cell]
Ru 0.667 0.500 0.915 [1 per cell]
Ru 0.668 0.500 0.669 [1 per cell]

Computed properties:
Crystal system: monoclinic
Calculated volume in Å³ per cell: 270.5
Energy relative to the elements, uncorrected in meV/atom: -858
M_tot in μB per formula unit: 0.00

***

Record 7
A crystal of Mg2ScCd relaxed with PBEsol, computed with SCAN.

Cell: 3.204 3.204 8.462 Å, 90.00 90.00 90.00°
Space group P4mm (No. 99)
Unique sites:
Mg 0.000 0.000 0.000 [1 per cell]
Mg 0.500 0.500 0.261 [1 per cell]
Sc 0.000 0.000 0.529 [1 per cell]
Cd 0.500 0.500 0.767 [1 per cell]

Computed properties:
Formation energy in eV per atom: -0.1748
Crystal system: tetragonal
Calculated volume in Å³ per cell: 86.9
M_tot in μB per formula unit: 0.57

***

Record 8
A crystal of V2Bi4O11 relaxed with PBEsol, computed with SCAN.

Cell: 5.626 6.540 8.061 Å, 89.22 83.81 71.28°
Space group P1 (No. 1)
Unique sites:
V 0.000 0.000 0.000 [1 per cell]
V 0.140 0.672 0.540 [1 per cell]
Bi 0.147 0.461 0.063 [1 per cell]
Bi 0.492 0.847 0.209 [1 per cell]
Bi 0.588 0.822 0.695 [1 per cell]
Bi 0.658 0.275 0.370 [1 per cell]
O 0.010 0.236 0.912 [1 per cell]
O 0.264 0.612 0.328 [1 per cell]
O 0.291 0.809 0.957 [1 per cell]
O 0.408 0.572 0.643 [1 per cell]
O 0.447 0.216 0.173 [1 per cell]
O 0.541 0.964 0.451 [1 per cell]
O 0.790 0.866 0.961 [1 per cell]
O 0.804 0.516 0.222 [1 per cell]
O 0.919 0.548 0.606 [1 per cell]
O 0.986 0.040 0.214 [1 per cell]
O 0.998 0.931 0.589 [1 per cell]

Computed properties:
Crystal system: triclinic
Calculated volume in Å³ per cell: 279.2
Energy relative to the elements, uncorrected in meV/atom: -1693
M_tot in μB per formula unit: 0.00

***

Record 9
A crystal of Er3TaO7 relaxed with PBEsol, computed with SCAN.

Cell: 7.416 10.346 7.328 Å, 90.00 90.00 90.00°
Space group C222_1 (No. 20)
Unique sites:
Er 0.035 0.000 0.000 [4 per cell]
Er 0.232 0.268 0.760 [8 per cell]
Ta 0.002 0.500 0.000 [4 per cell]
O 0.000 0.129 0.250 [4 per cell]
O 0.000 0.139 0.750 [4 per cell]
O 0.000 0.427 0.750 [4 per cell]
O 0.181 0.370 0.046 [8 per cell]
O 0.208 0.376 0.476 [8 per cell]

Computed properties:
Crystal system: orthorhombic
Calculated volume in Å³ per cell: 562.3
Energy relative to the elements, uncorrected in meV/atom: -3755
M_tot in μB per formula unit: 0.00

***

Record 10
A crystal of AlPdAu2 relaxed with PBEsol, computed with SCAN.

Cell: 7.126 7.126 5.293 Å, 90.00 90.00 90.00°
Space group I-42d (No. 122)
Unique sites:
Al 0.000 0.000 0.000 [4 per cell]
Pd 0.000 0.000 0.500 [4 per cell]
Au 0.228 0.250 0.125 [8 per cell]

Computed properties:
Formation energy in eV per atom: -0.3414
Crystal system: tetragonal
Calculated volume in Å³ per cell: 268.8
M_tot in μB per formula unit: 0.00

***

Record 11
A crystal of TlAgSbPd2 relaxed with PBEsol, computed with SCAN.

Cell: 4.959 4.959 4.999 Å, 90.00 90.00 90.00°
Space group P4/mmm (No. 123)
Unique sites:
Tl 0.000 0.000 0.000 [1 per cell]
Ag 0.000 0.000 0.500 [1 per cell]
Sb 0.500 0.500 0.500 [1 per cell]
Pd 0.000 0.500 0.000 [2 per cell]

Computed properties:
Crystal system: tetragonal
Calculated volume in Å³ per cell: 122.9
Energy relative to the elements, uncorrected in meV/atom: 746
M_tot in μB per formula unit: 0.00

***

Record 12
A crystal of HfFeTcPb2 relaxed with PBEsol, computed with SCAN.

Cell: 5.451 5.451 4.382 Å, 90.00 90.00 90.00°
Space group P4/mmm (No. 123)
Unique sites:
Hf 0.000 0.000 0.000 [1 per cell]
Fe 0.000 0.000 0.500 [1 per cell]
Tc 0.500 0.500 0.500 [1 per cell]
Pb 0.000 0.500 0.000 [2 per cell]

Computed properties:
Formation energy in eV per atom: 1.5220
Crystal system: tetragonal
Calculated volume in Å³ per cell: 130.2
M_tot in μB per formula unit: 5.36

***

Record 13
A crystal of FeB2Ru relaxed with PBEsol, computed with SCAN.

Cell: 5.367 5.367 5.313 Å, 90.00 90.00 90.00°
Space group I-42d (No. 122)
Unique sites:
Fe 0.000 0.000 0.000 [4 per cell]
B 0.233 0.750 0.125 [8 per cell]
Ru 0.000 0.000 0.500 [4 per cell]

Computed properties:
Formation energy in eV per atom: 0.2784
Crystal system: tetragonal
Calculated volume in Å³ per cell: 153.0
M_tot in μB per formula unit: 1.80

***

Record 14
A crystal of KW2Br relaxed with PBEsol, computed with SCAN.

Cell: 2.810 4.815 11.670 Å, 90.00 90.00 90.00°
Space group Immm (No. 71)
Unique sites:
K 0.000 0.000 0.000 [2 per cell]
W 0.000 0.500 0.210 [4 per cell]
Br 0.000 0.000 0.500 [2 per cell]

Computed properties:
Crystal system: orthorhombic
Calculated volume in Å³ per cell: 157.9
Energy relative to the elements, uncorrected in meV/atom: 1131
M_tot in μB per formula unit: 0.00

***

Record 15
A crystal of CrCSe2N relaxed with PBEsol, computed with SCAN.

Cell: 4.701 4.701 3.448 Å, 90.00 90.00 90.00°
Space group P4/mmm (No. 123)
Unique sites:
Cr 0.000 0.000 0.000 [1 per cell]
C 0.500 0.500 0.500 [1 per cell]
Se 0.000 0.500 0.000 [2 per cell]
N 0.000 0.000 0.500 [1 per cell]

Computed properties:
Crystal system: tetragonal
Calculated volume in Å³ per cell: 76.2
Energy relative to the elements, uncorrected in meV/atom: 1367
M_tot in μB per formula unit: 1.01

***

Record 16
A crystal of Al2Co2Ag relaxed with PBEsol, computed with SCAN.

Cell: 3.295 3.295 13.172 Å, 90.00 90.00 90.00°
Space group I4/mmm (No. 139)
Unique sites:
Al 0.000 0.000 0.112 [4 per cell]
Co 0.000 0.500 0.250 [4 per cell]
Ag 0.000 0.000 0.500 [2 per cell]

Computed properties:
Formation energy in eV per atom: 0.0713
Crystal system: tetragonal
Calculated volume in Å³ per cell: 143.0
M_tot in μB per formula unit: 3.16

***

Record 17
A crystal of NiRh2 relaxed with PBEsol, computed with SCAN.

Cell: 9.563 2.648 6.205 Å, 90.00 104.33 90.00°
Space group Cm (No. 8)
Unique sites:
Ni 0.000 0.000 0.000 [2 per cell]
Ni 0.165 0.500 0.325 [2 per cell]
Rh 0.056 0.000 0.605 [2 per cell]
Rh 0.220 0.500 0.945 [2 per cell]
Rh 0.334 0.000 0.665 [2 per cell]
Rh 0.388 0.000 0.271 [2 per cell]

Computed properties:
Formation energy in eV per atom: 0.0643
Crystal system: monoclinic
Calculated volume in Å³ per cell: 152.2
M_tot in μB per formula unit: 2.23

***

Record 18
A crystal of NiAgW2 relaxed with PBEsol, computed with SCAN.

Cell: 5.258 8.309 2.648 Å, 90.00 90.00 90.00°
Space group Cmmm (No. 65)
Unique sites:
Ni 0.000 0.000 0.000 [2 per cell]
Ag 0.000 0.500 0.000 [2 per cell]
W 0.250 0.250 0.500 [4 per cell]

Computed properties:
Formation energy in eV per atom: 0.5496
Crystal system: orthorhombic
Calculated volume in Å³ per cell: 115.7
M_tot in μB per formula unit: 0.48

***

Record 19
A crystal of NaLaSiO4 relaxed with PBEsol, computed with SCAN.

Cell: 21.352 9.369 5.505 Å, 90.00 90.00 90.00°
Space group Pna2_1 (No. 33)
Unique sites:
Na 0.058 0.071 0.000 [4 per cell]
Na 0.107 0.574 0.472 [4 per cell]
Na 0.224 0.423 0.953 [4 per cell]
La 0.000 0.303 0.505 [4 per cell]
La 0.167 0.197 0.446 [4 per cell]
La 0.167 0.800 0.961 [4 per cell]
Si 0.077 0.415 0.966 [4 per cell]
Si 0.091 0.914 0.494 [4 per cell]
Si 0.244 0.082 0.963 [4 per cell]
O 0.003 0.439 0.901 [4 per cell]
O 0.058 0.073 0.524 [4 per cell]
O 0.069 0.806 0.712 [4 per cell]
O 0.074 0.847 0.228 [4 per cell]
O 0.085 0.305 0.195 [4 per cell]
O 0.107 0.572 0.032 [4 per cell]
O 0.108 0.350 0.716 [4 per cell]
O 0.167 0.936 0.526 [4 per cell]
O 0.169 0.064 0.025 [4 per cell]
O 0.225 0.640 0.718 [4 per cell]
O 0.227 0.424 0.395 [4 per cell]
O 0.245 0.695 0.240 [4 per cell]

Computed properties:
Crystal system: orthorhombic
Calculated volume in Å³ per cell: 1101.2
Energy relative to the elements, uncorrected in meV/atom: -3207
M_tot in μB per formula unit: 0.00

***

Record 20
A crystal of TlBPd2 relaxed with PBEsol, computed with SCAN.

Cell: 6.699 6.699 5.505 Å, 90.00 90.00 90.00°
Space group I-42d (No. 122)
Unique sites:
Tl 0.000 0.000 0.000 [4 per cell]
B 0.000 0.000 0.500 [4 per cell]
Pd 0.148 0.250 0.625 [8 per cell]

Computed properties:
Formation energy in eV per atom: 0.0059
Crystal system: tetragonal
Calculated volume in Å³ per cell: 247.1
M_tot in μB per formula unit: 0.00

***

Record 21
A crystal of MgAuBr2 relaxed with PBEsol, computed with SCAN.

Cell: 3.9195 3.9195 23.1244 Å, 90.00 90.00 120.00°
Space group R3m (No. 160, hexagonal axes)
Unique sites:
Mg 0.0000 0.0000 0.0000 [3 per cell]
Au 0.0000 0.0000 0.2631 [3 per cell]
Br 0.0000 0.0000 0.5327 [3 per cell]
Br 0.0000 0.0000 0.7299 [3 per cell]

Computed properties:
Crystal system: trigonal
Calculated volume in Å³ per cell: 307.6
Energy relative to the elements, uncorrected in meV/atom: -632
M_tot in μB per formula unit: 0.74